(1)
The following is a PBE calculation of a relaxed Li2ZrTl crystal, from Alexandria via LeMat-Bulk.

```
data_Li2ZrTl
_chemical_formula_sum 'Li2 Zr1 Tl1'
_cell_length_a 4.829
_cell_length_b 4.829
_cell_length_c 4.829
_cell_angle_alpha 120.08
_cell_angle_beta 120.08
_cell_angle_gamma 89.86
_symmetry_space_group_name_H-M 'P 1'
_symmetry_Int_Tables_number 1
_symmetry_space_group_name_Hall 'P 1'
loop_
_atom_site_label
_atom_site_fract_x
_atom_site_fract_y
_atom_site_fract_z
Li1 0.000 0.000 0.000
Li2 0.250 0.750 0.500
Tl1 0.500 0.500 0.000
Zr1 0.750 0.250 0.500
```

Computed properties:
* space group: I-4m2
* density of states at the Fermi level: 3.06 states/eV/f.u.
* formation energy from the elements: 20 meV per atom
* V: 19.88 Å³ per atom


(2)
The following is a PBE calculation of a relaxed Li2Zr2Tl crystal, from Alexandria via LeMat-Bulk.

```
data_Li2Zr2Tl
_chemical_formula_sum 'Li4 Zr4 Tl2'
_cell_length_a 8.054
_cell_length_b 8.054
_cell_length_c 3.261
_cell_angle_alpha 90.00
_cell_angle_beta 90.00
_cell_angle_gamma 90.00
_symmetry_space_group_name_H-M 'P 1'
_symmetry_Int_Tables_number 1
_symmetry_space_group_name_Hall 'P 1'
loop_
_atom_site_label
_atom_site_fract_x
_atom_site_fract_y
_atom_site_fract_z
Tl1 0.000 0.000 0.000
Tl2 0.500 0.500 0.000
Zr1 0.367 0.867 0.000
Zr2 0.867 0.633 0.000
Zr3 0.633 0.133 0.000
Zr4 0.133 0.367 0.000
Li1 0.166 0.666 0.500
Li2 0.666 0.834 0.500
Li3 0.834 0.334 0.500
Li4 0.334 0.166 0.500
```

Computed properties:
* space group: P4/mbm
* density of states at the Fermi level: 4.89 states/eV/f.u.
* polymorph energy (0 for the lowest one): 74.5 meV/atom
* formation energy from the elements: 373 meV per atom
* V: 21.15 Å³ per atom


(3)
The following is a PBE calculation of a relaxed Li3ZrTl4 crystal, from Alexandria via LeMat-Bulk.

```
data_Li3ZrTl4
_chemical_formula_sum 'Li3 Zr1 Tl4'
_cell_length_a 3.389
_cell_length_b 3.389
_cell_length_c 14.876
_cell_angle_alpha 90.00
_cell_angle_beta 90.00
_cell_angle_gamma 90.00
_symmetry_space_group_name_H-M 'P 1'
_symmetry_Int_Tables_number 1
_symmetry_space_group_name_Hall 'P 1'
loop_
_atom_site_label
_atom_site_fract_x
_atom_site_fract_y
_atom_site_fract_z
Tl1 0.000 0.000 0.861
Tl2 0.000 0.000 0.139
Tl3 0.000 0.000 0.373
Tl4 0.000 0.000 0.627
Zr1 0.500 0.500 0.000
Li1 0.500 0.500 0.250
Li2 0.500 0.500 0.500
Li3 0.500 0.500 0.750
```

Computed properties:
* space group: P4/mmm
* density of states at the Fermi level: 4.14 states/eV/f.u.
* formation energy from the elements: -173 meV per atom
* V: 21.36 Å³ per atom